Here is a relaxed structure of VF3 from Alexandria. Energies are from PBE+U.

Values from the calculation:
total energy = -6.093 eV per atom
space-group type = P4_2/mnm, No. 136

Unit cell a=4.850 b=4.850 c=8.988 alpha=90.00 beta=90.00 gamma=90.00
Each line ends with the local moment (μB).
Element x y z (fractional)
V 0.500 0.500 0.328  1.91
V 0.500 0.500 0.672  1.91
V 0.000 0.000 0.172  1.91
V 0.000 0.000 0.828  1.91
F 0.683 0.317 0.500  0.00
F 0.714 0.286 0.824  0.00
F 0.714 0.286 0.176  0.00
F 0.786 0.786 0.676  0.00
F 0.786 0.786 0.324  0.00
F 0.817 0.817 0.000  0.00
F 0.183 0.183 0.000  0.00
F 0.214 0.214 0.324  0.00
F 0.214 0.214 0.676  0.00
F 0.286 0.714 0.176  0.00
F 0.286 0.714 0.824  0.00
F 0.317 0.683 0.500  0.00